Y2ZnRh | PBEsol | optimized geometry

```
Y2ZnRh
1.0
4.328 0.000 0.000
0.000 3.771 0.000
0.000 0.000 10.465
Y Zn Rh
4 2 2
Direct
0.000 0.000 0.000
0.000 0.500 0.500
0.500 0.000 0.281
0.500 0.500 0.781
0.000 0.000 0.712
0.000 0.500 0.212
0.500 0.000 0.566
0.500 0.500 0.066
```

Summary:
The value obtained for the density of states at the Fermi level is 2.630 states/eV/f.u. The value obtained for the energy of formation from the pure elements is -582 meV per atom. The calculation puts the final energy at -51.39 eV/cell. The calculated volume comes out at 171 Å³/cell.